[1]
Density functional theory data (GGA-PBE) for an optimized crystal structure of LaTm2InHg4.

Calculated values
final energy	-20.970	eV per cell
ΔE_f	-0.39	eV per atom
magnetic moment	0.00	μB/f.u.
ρ	11.00	g cm⁻³

POSCAR file:
```
LaTm2InHg4
1.0
5.062 0.000 0.000
2.531 4.384 0.000
2.531 1.461 9.484
La Tm In Hg
1 2 1 4
direct
0.000 0.000 0.000 La
0.764 0.764 0.709 Tm
0.236 0.236 0.291 Tm
0.500 0.500 0.500 In
0.385 0.385 0.844 Hg
0.878 0.878 0.366 Hg
0.122 0.122 0.634 Hg
0.615 0.615 0.156 Hg
```

[2]
Density functional theory data (GGA-PBE) for an optimized crystal structure of La2VInHg.

Calculated values
final energy	-18.521	eV per cell
ΔE_f	0.70	eV per atom
magnetic moment	0.04	μB/f.u.
ρ	5.95	g cm⁻³

POSCAR file:
```
La2VInHg
1.0
-5.282 -0.216 2.872
-0.705 -4.636 -1.646
2.750 -2.157 4.896
V In Hg La
1 1 1 2
direct
0.000 0.500 0.000 V
0.000 0.000 0.000 In
0.500 0.500 0.500 Hg
0.000 0.000 0.500 La
0.500 0.000 0.000 La
```

[3]
Density functional theory data (GGA-PBE) for an optimized crystal structure of La2Zn4In3Hg.

Calculated values
final energy	-27.019	eV per cell
ΔE_f	-0.36	eV per atom
magnetic moment	0.00	μB/f.u.
ρ	7.75	g cm⁻³

POSCAR file:
```
La2Zn4In3Hg
1.0
-3.264 2.135 2.346
-0.019 -3.379 3.049
7.820 5.367 5.997
La Zn In Hg
2 4 3 1
direct
0.500 0.000 0.245 La
0.000 0.500 0.755 La
0.500 0.500 0.000 Zn
0.000 0.000 0.000 Zn
0.500 0.000 0.637 Zn
0.000 0.500 0.363 Zn
0.000 0.000 0.500 In
0.500 0.000 0.868 In
0.000 0.500 0.132 In
0.500 0.500 0.500 Hg
```

[4]
Density functional theory data (GGA-PBE) for an optimized crystal structure of LaZnIn2Hg.

Calculated values
final energy	-12.269	eV per cell
ΔE_f	-0.06	eV per atom
magnetic moment	0.00	μB/f.u.
ρ	7.63	g cm⁻³

POSCAR file:
```
LaZnIn2Hg
1.0
5.220 0.000 0.000
0.000 5.067 0.000
0.000 0.000 5.220
Zn In Hg La
1 2 1 1
direct
0.000 0.000 0.000 Zn
0.000 0.000 0.500 In
0.500 0.000 0.000 In
0.000 0.500 0.000 Hg
0.500 0.500 0.500 La
```

[5]
Density functional theory data (GGA-PBE) for an optimized crystal structure of La2Zn4InHg3.

Calculated values
final energy	-21.783	eV per cell
ΔE_f	-0.32	eV per atom
magnetic moment	0.00	μB/f.u.
ρ	9.05	g cm⁻³

POSCAR file:
```
La2Zn4InHg3
1.0
-1.137 3.771 -2.242
-2.960 -2.369 -2.484
-8.012 2.082 7.563
La Zn In Hg
2 4 1 3
direct
0.500 0.000 0.241 La
0.000 0.500 0.759 La
0.500 0.500 0.000 Zn
0.000 0.000 0.000 Zn
0.500 0.000 0.640 Zn
0.000 0.500 0.360 Zn
0.500 0.500 0.500 In
0.000 0.000 0.500 Hg
0.500 0.000 0.870 Hg
0.000 0.500 0.130 Hg
```

[6]
Density functional theory data (GGA-PBE) for an optimized crystal structure of Li6InHg2.

Calculated values
distance to the lowest polymorph of the same formula	0.16	eV per formula unit
final energy	-17.110	eV per cell
ΔE_f	-0.25	eV per atom
magnetic moment	0.00	μB/f.u.
ρ	5.58	g cm⁻³

POSCAR file:
```
Li6InHg2
1.0
-0.443 -0.623 2.831
-3.326 -7.535 -0.659
4.513 -6.885 0.709
Li In Hg
6 1 2
direct
0.167 0.506 0.159 Li
0.833 0.494 0.841 Li
0.833 0.841 0.494 Li
0.000 0.171 0.829 Li
0.000 0.829 0.171 Li
0.167 0.159 0.506 Li
0.500 0.500 0.500 In
0.345 0.155 0.155 Hg
0.655 0.845 0.845 Hg
```

[7]
Density functional theory data (GGA-PBE) for an optimized crystal structure of Li3InHg6.

Calculated values
distance to the lowest polymorph of the same formula	0.00	eV per formula unit
final energy	-25.118	eV per cell
ΔE_f	-0.23	eV per atom
magnetic moment	0.00	μB/f.u.
ρ	10.31	g cm⁻³

POSCAR file:
```
Li3InHg6
1.0
4.863 0.000 0.000
0.000 8.339 -2.376
0.000 0.404 10.524
Li In Hg
6 2 12
direct
0.250 0.544 0.392 Li
0.750 0.456 0.608 Li
0.250 0.363 0.806 Li
0.750 0.637 0.194 Li
0.250 0.755 0.980 Li
0.750 0.245 0.020 Li
0.250 0.941 0.592 In
0.750 0.059 0.408 In
0.250 0.468 0.089 Hg
0.750 0.532 0.911 Hg
0.250 0.157 0.197 Hg
0.750 0.843 0.803 Hg
0.250 0.627 0.695 Hg
0.750 0.373 0.305 Hg
0.250 0.279 0.520 Hg
0.750 0.721 0.480 Hg
0.250 0.815 0.275 Hg
0.750 0.185 0.725 Hg
0.250 0.082 0.897 Hg
0.750 0.918 0.103 Hg
```

[8]
Density functional theory data (GGA-PBE) for an optimized crystal structure of LiIn4Hg.

Calculated values
distance to the lowest polymorph of the same formula	0.00	eV per formula unit
final energy	-27.242	eV per cell
ΔE_f	-0.08	eV per atom
magnetic moment	0.00	μB/f.u.
ρ	7.42	g cm⁻³

POSCAR file:
```
LiIn4Hg
1.0
-0.626 -1.825 5.242
-4.500 -3.517 -2.377
3.488 -8.077 -2.703
Li In Hg
2 8 2
direct
0.250 0.795 0.910 Li
0.750 0.205 0.090 Li
0.768 0.295 0.407 In
0.767 0.116 0.774 In
0.268 0.203 0.593 In
0.267 0.390 0.226 In
0.232 0.705 0.593 In
0.732 0.797 0.407 In
0.233 0.884 0.226 In
0.733 0.610 0.774 In
0.250 0.292 0.916 Hg
0.750 0.708 0.084 Hg
```